No. 1
# HfSc3Ru4

An optimized crystal structure of HfSc3Ru4 (GGA-PBE, Alexandria).

The space group is R-3m (No. 166, hexagonal axes) and the conventional cell measures 4.5543, 4.5543 and 22.2437 Å, with angles of 90.00, 90.00 and 120.00 degrees. The inequivalent atoms are Hf at (0.0000, 0.0000, 0.0000), Sc at (0.0000, 0.0000, 0.2487), Sc at (0.0000, 0.0000, 0.5000), Ru at (0.0000, 0.0000, 0.1237) and Ru at (0.0000, 0.0000, 0.3738).

No. 2
# Hf3ScRu4

An optimized crystal structure of Hf3ScRu4 (GGA-PBE, Alexandria).

The space group is Pmmm (No. 47) and the conventional cell measures 3.238, 4.573 and 9.135 Å, with angles of 90.00, 90.00 and 90.00 degrees. The inequivalent atoms are Hf at (0.000, 0.000, 0.000), Hf at (0.000, 0.500, 0.254), Sc at (0.000, 0.000, 0.500), Ru at (0.500, 0.000, 0.246), Ru at (0.500, 0.500, 0.000) and Ru at (0.500, 0.500, 0.500).

No. 3
# HfSc2Ru2

An optimized crystal structure of HfSc2Ru2 (GGA-PBE, Alexandria).

The space group is P4/mbm (No. 127) and the conventional cell measures 7.717, 7.717 and 3.032 Å, with angles of 90.00, 90.00 and 90.00 degrees. The inequivalent atoms are Hf at (0.000, 0.000, 0.000), Sc at (0.129, 0.371, 0.000) and Ru at (0.176, 0.676, 0.500).

The energy above the most stable polymorph in this dataset comes out at 364 meV per atom.

No. 4
# HfSc3Ru

An optimized crystal structure of HfSc3Ru (GGA-PBE, Alexandria).

The space group is Pm-3m (No. 221) and the conventional cell measures 4.946, 4.946 and 4.946 Å, with angles of 90.00, 90.00 and 90.00 degrees. The inequivalent atoms are Hf at (0.000, 0.000, 0.000), Sc at (0.000, 0.500, 0.500) and Ru at (0.500, 0.500, 0.500).

The energy above the most stable polymorph in this dataset comes out at 318 meV per atom.

No. 5
# HfSc5Ru6

An optimized crystal structure of HfSc5Ru6 (GGA-PBE, Alexandria).

The space group is C2/m (No. 12) and the conventional cell measures 14.320, 6.444 and 4.556 Å, with angles of 90.00, 108.47 and 90.00 degrees. The inequivalent atoms are Hf at (0.000, 0.000, 0.000), Sc at (0.000, 0.500, 0.000), Sc at (0.166, 0.500, 0.666), Sc at (0.168, 0.000, 0.668), Ru at (0.000, 0.246, 0.500) and Ru at (0.165, 0.248, 0.165).

No. 6
# HfSc2Ru4

An optimized crystal structure of HfSc2Ru4 (GGA-PBE, Alexandria).

The space group is I4/mmm (No. 139) and the conventional cell measures 6.296, 6.296 and 6.245 Å, with angles of 90.00, 90.00 and 90.00 degrees. The inequivalent atoms are Hf at (0.000, 0.000, 0.000), Sc at (0.000, 0.500, 0.000) and Ru at (0.250, 0.250, 0.250).

No. 7
# Hf2ScRu3

An optimized crystal structure of Hf2ScRu3 (GGA-PBE, Alexandria).

The space group is P4/mmm (No. 123) and the conventional cell measures 3.234, 3.234 and 9.684 Å, with angles of 90.00, 90.00 and 90.00 degrees. The inequivalent atoms are Hf at (0.000, 0.000, 0.170), Sc at (0.000, 0.000, 0.500), Ru at (0.500, 0.500, 0.000) and Ru at (0.500, 0.500, 0.330).

No. 8
# HfScRu2

An optimized crystal structure of HfScRu2 (GGA-PBE, Alexandria).

The space group is P4/mmm (No. 123) and the conventional cell measures 3.226, 3.226 and 6.452 Å, with angles of 90.00, 90.00 and 90.00 degrees. The inequivalent atoms are Hf at (0.000, 0.000, 0.000), Sc at (0.000, 0.000, 0.500) and Ru at (0.500, 0.500, 0.245).

The energy above the most stable polymorph in this dataset comes out at 0 meV per atom.

| no. | DOS(E_F) (states/eV/f.u.) | ΔH_f (0 K) (kJ/mol of formula units) | calculated density (Mg/m³) |
| --- | --- | --- | --- |
| 1 | 7.94 | -490 | 8.9 |
| 2 | 2.27 | -614 | 12.1 |
| 3 | 4.78 | -89 | 8.7 |
| 4 | 9.54 | 83 | 5.7 |
| 5 | 13.03 | -699 | 8.4 |
| 6 | 10.05 | -20 | 9.0 |
| 7 | 0.73 | -452 | 11.6 |
| 8 | 2.96 | -282 | 10.5 |